DFT (PBE) results for Ca2MgI6 after structural relaxation.

Values from the calculation:
* space group: P-31m, No. 162
* relative energy among the computed polymorphs: 0.00 eV per formula unit
* formation energy from raw total energies: -1.4237 eV/atom
* total magnetization: 0.000 μB per formula unit

Cell lengths 7.7726, 7.6735, 7.6735 Å; angles 120.00, 90.00, 90.00 degrees
Fractional coordinates of all 9 atoms:
I 0.7234 0.0000 0.3151
I 0.2766 0.0000 0.6849
I 0.7234 0.6849 0.6849
I 0.7234 0.3151 0.0000
I 0.2766 0.6849 0.0000
I 0.2766 0.3151 0.3151
Ca 0.5000 0.6667 0.3333
Ca 0.5000 0.3333 0.6667
Mg 0.5000 0.0000 0.0000